No. 1
A relaxed structure of Tl3O4. Source: Alexandria via LeMat-Bulk, functional PBE.

The space group is R-3m (No. 166, hexagonal axes) and the conventional cell measures 3.6342, 3.6342 and 28.0628 Å, with angles of 90.00, 90.00 and 120.00 degrees. The distinct sites, in fractional coordinates, are Tl at (0.0000, 0.0000, 0.0000), Tl at (0.0000, 0.0000, 0.2272), O at (0.0000, 0.0000, 0.1309) and O at (0.0000, 0.0000, 0.3803).

The density of states at the Fermi level comes out at 6.072 states/eV/cell. For the energy above the most stable polymorph in this dataset, the calculation gives 0.046 eV/atom.

=====

No. 2
A relaxed structure of TlO2. Source: Alexandria via LeMat-Bulk, functional PBE.

The space group is Immm (No. 71) and the conventional cell measures 3.6969, 4.6632 and 4.7571 Å, with angles of 90.00, 90.00 and 90.00 degrees. The distinct sites, in fractional coordinates, are Tl at (0.0000, 0.0000, 0.0000) and O at (0.0000, 0.5000, 0.2233).

The density of states at the Fermi level comes out at 1.652 states/eV/cell. For the energy above the most stable polymorph in this dataset, the calculation gives 0.295 eV/atom.

=====

No. 3
A relaxed structure of TlO. Source: Alexandria via LeMat-Bulk, functional PBE.

The space group is Pm-3n (No. 223) and the conventional cell measures 6.7359, 6.7359 and 6.7359 Å, with angles of 90.00, 90.00 and 90.00 degrees. The distinct sites, in fractional coordinates, are Tl at (0.0000, 0.2500, 0.5000) and O at (0.0000, 0.5000, 0.2500).

The density of states at the Fermi level comes out at 6.976 states/eV/cell. For the energy above the most stable polymorph in this dataset, the calculation gives 0.100 eV/atom.

=====

No. 4
A relaxed structure of TlO. Source: Alexandria via LeMat-Bulk, functional PBE.

The space group is I4/m (No. 87) and the conventional cell measures 10.0561, 10.0561 and 3.8651 Å, with angles of 90.00, 90.00 and 90.00 degrees. The distinct sites, in fractional coordinates, are Tl at (0.1112, 0.2807, 0.0000) and O at (0.1178, 0.7137, 0.0000).

The density of states at the Fermi level comes out at 6.963 states/eV/cell. For the energy above the most stable polymorph in this dataset, the calculation gives 0.096 eV/atom.

=====

No. 5
A relaxed structure of TlO. Source: Alexandria via LeMat-Bulk, functional PBE.

The space group is I-43m (No. 217) and the conventional cell measures 7.4744, 7.4744 and 7.4744 Å, with angles of 90.00, 90.00 and 90.00 degrees. The distinct sites, in fractional coordinates, are Tl at (0.1646, 0.1646, 0.8354) and O at (0.1602, 0.1602, 0.1602).

The density of states at the Fermi level comes out at 8.342 states/eV/cell. For the energy above the most stable polymorph in this dataset, the calculation gives 0.110 eV/atom.

=====

No. 6
A relaxed structure of TlO. Source: Alexandria via LeMat-Bulk, functional PBE.

The space group is Cmcm (No. 63) and the conventional cell measures 4.4676, 9.4406 and 3.7352 Å, with angles of 90.00, 90.00 and 90.00 degrees. The distinct sites, in fractional coordinates, are Tl at (0.0000, 0.1369, 0.2500) and O at (0.0000, 0.2819, 0.7500).

The density of states at the Fermi level comes out at 1.250 states/eV/cell. For the energy above the most stable polymorph in this dataset, the calculation gives 0.048 eV/atom.

=====

No. 7
A relaxed structure of Tl2O. Source: Alexandria via LeMat-Bulk, functional PBE.

The space group is Pnma (No. 62) and the conventional cell measures 6.4129, 3.4815 and 13.8833 Å, with angles of 90.00, 90.00 and 90.00 degrees. The distinct sites, in fractional coordinates, are Tl at (0.2104, 0.2500, 0.1818), Tl at (0.2150, 0.7500, 0.4363) and O at (0.1634, 0.2500, 0.5739).

For the energy above the most stable polymorph in this dataset, the calculation gives 0.016 eV/atom.

=====

No. 8
A relaxed structure of TlO. Source: Alexandria via LeMat-Bulk, functional PBE.

The space group is P6_3mc (No. 186) and the conventional cell measures 3.8631, 3.8631 and 6.3514 Å, with angles of 90.00, 90.00 and 120.00 degrees. The distinct sites, in fractional coordinates, are Tl at (0.3333, 0.6667, 0.0000) and O at (0.3333, 0.6667, 0.6250).

The density of states at the Fermi level comes out at 2.661 states/eV/cell. For the energy above the most stable polymorph in this dataset, the calculation gives 0.047 eV/atom.

=====

No. 9
A relaxed structure of Tl2O. Source: Alexandria via LeMat-Bulk, functional PBE.

The space group is C2/m (No. 12) and the conventional cell measures 6.2612, 3.6153 and 6.9566 Å, with angles of 90.00, 107.16 and 90.00 degrees. The distinct sites, in fractional coordinates, are Tl at (0.2413, 0.0000, 0.2281) and O at (0.0000, 0.5000, 0.0000).

For the energy above the most stable polymorph in this dataset, the calculation gives 0.000 eV/atom.

=====

No. 10
A relaxed structure of TlO. Source: Alexandria via LeMat-Bulk, functional PBE.

The space group is Aem2 (No. 39) and the conventional cell measures 21.9470, 4.8549 and 5.2490 Å, with angles of 90.00, 90.00 and 90.00 degrees. The distinct sites, in fractional coordinates, are Tl at (0.0604, 0.2500, 0.0000), Tl at (0.1902, 0.2500, 0.0013), Tl at (0.3112, 0.2500, 0.4982), Tl at (0.4394, 0.2500, 0.5776), O at (0.0402, 0.2500, 0.5545), O at (0.2104, 0.2500, 0.5566), O at (0.2907, 0.2500, 0.0592) and O at (0.4599, 0.2500, 0.0160).

The density of states at the Fermi level comes out at 11.460 states/eV/cell. For the energy above the most stable polymorph in this dataset, the calculation gives 0.008 eV/atom.

=====

No. 11
A relaxed structure of TlO. Source: Alexandria via LeMat-Bulk, functional PBE.

The space group is P6_3mc (No. 186) and the conventional cell measures 3.7025, 3.7025 and 14.5844 Å, with angles of 90.00, 90.00 and 120.00 degrees. The distinct sites, in fractional coordinates, are Tl at (0.0000, 0.0000, 0.0000), Tl at (0.3333, 0.6667, 0.2334), O at (0.0000, 0.0000, 0.1479) and O at (0.3333, 0.6667, 0.4504).

The density of states at the Fermi level comes out at 3.035 states/eV/cell. For the energy above the most stable polymorph in this dataset, the calculation gives 0.017 eV/atom.

=====

No. 12
A relaxed structure of TlO. Source: Alexandria via LeMat-Bulk, functional PBE.

The space group is P4/m (No. 83) and the conventional cell measures 10.6206, 10.6206 and 3.7449 Å, with angles of 90.00, 90.00 and 90.00 degrees. The distinct sites, in fractional coordinates, are Tl at (0.0750, 0.2555, 0.0000), Tl at (0.1780, 0.5974, 0.5000), O at (0.0599, 0.3637, 0.5000) and O at (0.1334, 0.7647, 0.0000).

For the energy above the most stable polymorph in this dataset, the calculation gives 0.000 eV/atom.

=====

No. 13
A relaxed structure of Tl2O3. Source: Alexandria via LeMat-Bulk, functional PBE.

The space group is Ia-3 (No. 206) and the conventional cell measures 10.7644, 10.7644 and 10.7644 Å, with angles of 90.00, 90.00 and 90.00 degrees. The distinct sites, in fractional coordinates, are Tl at (0.0000, 0.0000, 0.0000), Tl at (0.0000, 0.2500, 0.2832) and O at (0.0958, 0.1379, 0.6335).

The density of states at the Fermi level comes out at 52.086 states/eV/cell.

=====

No. 14
A relaxed structure of TlO4. Source: Alexandria via LeMat-Bulk, functional PBE.

The space group is P1 (No. 1) and the conventional cell measures 4.2728, 6.2234 and 7.9917 Å, with angles of 74.05, 89.99 and 70.41 degrees. The distinct sites, in fractional coordinates, are Tl at (0.0000, 0.0000, 0.0000), Tl at (0.0503, 0.8940, 0.5205), O at (0.2084, 0.2882, 0.2447), O at (0.2225, 0.2615, 0.6558), O at (0.5040, 0.2879, 0.2449), O at (0.5215, 0.2602, 0.6559), O at (0.6061, 0.7828, 0.1963), O at (0.6148, 0.7644, 0.8170), O at (0.6231, 0.7467, 0.3672) and O at (0.7261, 0.5419, 0.9013).

The density of states at the Fermi level comes out at 4.966 states/eV/cell. For the energy above the most stable polymorph in this dataset, the calculation gives 0.000 eV/atom.

=====

No. 15
A relaxed structure of TlO. Source: Alexandria via LeMat-Bulk, functional PBE.

The space group is Pmn2_1 (No. 31) and the conventional cell measures 11.0073, 3.5840 and 6.2308 Å, with angles of 90.00, 90.00 and 90.00 degrees. The distinct sites, in fractional coordinates, are Tl at (0.0000, 0.0875, 0.0000), Tl at (0.1752, 0.7306, 0.5446), O at (0.0000, 0.0129, 0.5991) and O at (0.2254, 0.7504, 0.9070).

The density of states at the Fermi level comes out at 2.507 states/eV/cell. For the energy above the most stable polymorph in this dataset, the calculation gives 0.019 eV/atom.

=====

No. 16
A relaxed structure of TlO. Source: Alexandria via LeMat-Bulk, functional PBE.

The space group is P6_3/m (No. 176) and the conventional cell measures 9.3823, 9.3823 and 3.9386 Å, with angles of 90.00, 90.00 and 120.00 degrees. The distinct sites, in fractional coordinates, are Tl at (0.0841, 0.6768, 0.2500) and O at (0.0784, 0.4124, 0.2500).

The density of states at the Fermi level comes out at 4.710 states/eV/cell. For the energy above the most stable polymorph in this dataset, the calculation gives 0.099 eV/atom.

=====

No. 17
A relaxed structure of Tl2O. Source: Alexandria via LeMat-Bulk, functional PBE.

The space group is C2/m (No. 12) and the conventional cell measures 6.2718, 3.6225 and 13.3865 Å, with angles of 90.00, 99.02 and 90.00 degrees. The distinct sites, in fractional coordinates, are Tl at (0.1263, 0.0000, 0.3633), Tl at (0.2167, 0.5000, 0.1345) and O at (0.0779, 0.5000, 0.7509).

For the energy above the most stable polymorph in this dataset, the calculation gives 0.000 eV/atom.

=====

No. 18
A relaxed structure of TlO. Source: Alexandria via LeMat-Bulk, functional PBE.

The space group is Pm-3m (No. 221) and the conventional cell measures 3.1796, 3.1796 and 3.1796 Å, with angles of 90.00, 90.00 and 90.00 degrees. The distinct sites, in fractional coordinates, are Tl at (0.0000, 0.0000, 0.0000) and O at (0.5000, 0.5000, 0.5000).

The density of states at the Fermi level comes out at 1.071 states/eV/cell. For the energy above the most stable polymorph in this dataset, the calculation gives 0.488 eV/atom.

=====

No. 19
A relaxed structure of Tl2O3. Source: Alexandria via LeMat-Bulk, functional PBE.

The space group is Fddd (No. 70, origin choice 2) and the conventional cell measures 6.8052, 9.6786 and 20.3064 Å, with angles of 90.00, 90.00 and 90.00 degrees. The distinct sites, in fractional coordinates, are Tl at (0.1250, 0.1250, 0.0398), Tl at (0.1250, 0.1250, 0.3834), O at (0.0996, 0.3750, 0.3750) and O at (0.1031, 0.3580, 0.2011).

The density of states at the Fermi level comes out at 41.623 states/eV/cell.

=====

No. 20
A relaxed structure of Tl5O4. Source: Alexandria via LeMat-Bulk, functional PBE.

The space group is I4/m (No. 87) and the conventional cell measures 8.0601, 8.0601 and 5.6283 Å, with angles of 90.00, 90.00 and 90.00 degrees. The distinct sites, in fractional coordinates, are Tl at (0.0000, 0.0000, 0.0000), Tl at (0.1131, 0.2901, 0.5000) and O at (0.0644, 0.2685, 0.0000).

The density of states at the Fermi level comes out at 6.268 states/eV/cell.

=====

No. 21
A relaxed structure of TlO4. Source: Alexandria via LeMat-Bulk, functional PBE.

The space group is Pm-3m (No. 221) and the conventional cell measures 4.3712, 4.3712 and 4.3712 Å, with angles of 90.00, 90.00 and 90.00 degrees. The distinct sites, in fractional coordinates, are Tl at (0.0000, 0.0000, 0.0000), O at (0.0000, 0.0000, 0.5000) and O at (0.5000, 0.5000, 0.5000).

The density of states at the Fermi level comes out at 6.019 states/eV/cell. For the energy above the most stable polymorph in this dataset, the calculation gives 1.203 eV/atom.

=====

no.,uncorrected formation energy (eV/atom)
1,-0.540
2,-0.153
3,-0.472
4,-0.476
5,-0.462
6,-0.525
7,-0.566
8,-0.526
9,-0.581
10,-0.564
11,-0.555
12,-0.572
13,-0.683
14,-0.119
15,-0.553
16,-0.474
17,-0.582
18,-0.084
19,-0.551
20,-0.485
21,1.084